# YZnTc2Sn

YZnTc2Sn after structural relaxation (PBE, Alexandria via LeMat-Bulk).

Energy of formation from the pure elements ... 802 meV per atom
Total magnetization ... 2.76 μB/f.u.
Total DFT energy (no corrections) ... -28.462 eV per cell

Lattice parameters (Å, degrees): 4.757 4.757 4.761 90.00 90.00 90.00
Sites, in units of the cell vectors:
Y 0.000 0.000 0.000
Zn 0.500 0.500 0.500
Tc 0.000 0.500 0.500
Tc 0.500 0.000 0.500
Sn 0.500 0.500 0.000

***

# Zr2Be2SnRh5

Zr2Be2SnRh5 after structural relaxation (PBE, Alexandria via LeMat-Bulk).

Energy of formation from the pure elements ... -809 meV per atom
Total magnetization ... 0.00 μB/f.u.
Total DFT energy (no corrections) ... -146.790 eV per cell

Lattice parameters (Å, degrees): 9.387 9.387 3.369 90.00 90.00 90.00
Sites, in units of the cell vectors:
Zr 0.175 0.325 0.000
Zr 0.325 0.825 0.000
Zr 0.675 0.175 0.000
Zr 0.825 0.675 0.000
Be 0.120 0.620 0.000
Be 0.380 0.120 0.000
Be 0.620 0.880 0.000
Be 0.880 0.380 0.000
Sn 0.000 0.000 0.000
Sn 0.500 0.500 0.000
Rh 0.000 0.500 0.500
Rh 0.072 0.784 0.500
Rh 0.216 0.072 0.500
Rh 0.284 0.572 0.500
Rh 0.428 0.284 0.500
Rh 0.500 0.000 0.500
Rh 0.572 0.716 0.500
Rh 0.716 0.428 0.500
Rh 0.784 0.928 0.500
Rh 0.928 0.216 0.500

***

# Ti2FeSiB

Ti2FeSiB after structural relaxation (PBE, Alexandria via LeMat-Bulk).

Formation energy from raw total energies ... -272 meV per atom
Total magnetization ... 0.00 μB/f.u.
Total DFT energy (no corrections) ... -37.713 eV per cell

Lattice parameters (Å, degrees): 4.195 4.195 3.768 90.00 90.00 90.00
Sites, in units of the cell vectors:
Ti 0.000 0.500 0.000
Ti 0.500 0.000 0.000
Fe 0.000 0.000 0.500
Si 0.500 0.500 0.500
B 0.000 0.000 0.000

***

Among the records above, which one has the lowest total DFT energy (no corrections)? Zr2Be2SnRh5

***

Number 2 is which compound? Zr2Be2SnRh5

***

Number 3 is which compound? Ti2FeSiB